First-principles (PBE) data for a relaxed LiCrPdPt crystal, as listed in Alexandria via LeMat-Bulk.

Formation energy from the elements, meV per atom: -260.2
Calculated total energy, eV for the cell shown: -95.25

Cell: 6.1028 6.1028 6.1028 Å, 90.00 90.00 90.00°
Space group F-43m (No. 216)
Unique sites:
Li 0.0000 0.0000 0.0000 x4
Cr 0.0000 0.0000 0.5000 x4
Pd 0.2500 0.2500 0.7500 x4
Pt 0.2500 0.2500 0.2500 x4

---

First-principles (PBE) data for a relaxed RbLi2CrPd crystal, as listed in Alexandria via LeMat-Bulk.

Formation energy from the elements, meV per atom: 1001.1
Calculated total energy, eV for the cell shown: -14.61

Cell: 5.1379 5.1379 6.2573 Å, 90.00 90.00 90.00°
Space group P4/mmm (No. 123)
Unique sites:
Rb 0.0000 0.0000 0.0000 x1
Li 0.0000 0.5000 0.5000 x2
Cr 0.0000 0.0000 0.5000 x1
Pd 0.5000 0.5000 0.0000 x1

---

What are the total magnetization values for these records? In order: 14.14; 5.08 Bohr magnetons per cell.
What are the ρ values for these records? In order: 10.53; 2.59 Mg/m³.